# 1
Computed, not measured: a relaxed Na3SmTh3Se8 crystal at the PBE level of DFT.

Structure (POSCAR):
```
Na3SmTh3Se8
1.0
8.410 0.000 0.000
-4.205 7.283 -0.029
0.000 -4.832 7.133
Na Sm Th Se
3 1 3 8
Cartesian
0.000 0.000 0.000
-2.102 3.641 -0.015
2.102 3.641 -0.015
0.000 -2.416 3.567
4.205 -2.416 3.567
2.102 1.226 3.552
-2.102 1.226 3.552
0.000 2.432 1.810
4.205 0.019 5.294
4.205 2.425 1.873
0.000 0.026 5.231
6.302 -1.205 1.888
-2.097 3.657 5.216
2.108 -1.205 1.888
2.097 3.657 5.216
```

Symmetry: R-3m (166)
Calculated total energy (eV/f.u.): -82.36
Formation energy from raw total energies (eV per atom): -1.570
Magnetization (μB/atom): 0.00

---

# 2
Computed, not measured: a relaxed Sm6HgBr8 crystal at the PBE level of DFT.

Structure (POSCAR):
```
Sm6HgBr8
1.0
6.797 0.000 2.233
3.032 6.083 2.233
-0.100 -0.062 11.765
Sm Hg Br
6 1 8
Cartesian
8.274 3.723 5.370
4.974 0.276 11.606
4.726 4.329 12.348
5.003 1.693 3.883
4.754 5.745 4.625
1.454 2.299 10.860
0.000 0.000 0.000
6.561 2.620 10.650
6.695 1.317 6.315
6.494 5.405 7.080
3.275 2.027 1.492
6.454 3.994 14.739
3.234 0.617 9.150
3.033 4.704 9.915
3.167 3.402 5.580
```

Symmetry: R-3 (148)
Calculated total energy (eV/f.u.): -62.04
Formation energy from raw total energies (eV per atom): -1.336
Magnetization (μB/atom): 0.00

---

# 3
Computed, not measured: a relaxed YSiSe2 crystal at the PBE level of DFT.

Structure (POSCAR):
```
YSiSe2
1.0
5.359 0.051 -0.001
1.490 5.147 0.001
-2.837 -3.372 3.049
Se Si Y
2 1 1
Cartesian
6.510 4.942 0.000
3.762 2.856 0.000
2.973 -0.361 1.524
1.038 2.187 1.525
```

Symmetry: Immm (71)
Calculated total energy (eV/f.u.): -21.88
Formation energy from raw total energies (eV per atom): -0.757
Distance to the lowest polymorph of the same formula (meV/atom): 192
Magnetization (μB/atom): 0.00

---

# 4
Computed, not measured: a relaxed InAgTe3 crystal at the PBE level of DFT.

Structure (POSCAR):
```
InAgTe3
1.0
8.882 0.000 0.000
0.000 10.594 0.442
0.000 -3.686 6.909
In Ag Te
4 4 12
Cartesian
3.214 0.820 5.956
5.668 6.087 1.394
7.655 0.790 1.173
1.227 6.117 6.177
5.818 5.464 5.395
3.064 1.444 1.955
1.377 6.741 2.176
7.505 0.166 5.175
0.338 3.442 6.440
8.544 3.466 0.910
4.779 8.763 1.131
4.103 -1.855 6.219
5.590 2.362 5.406
3.292 4.546 1.944
1.149 -0.751 1.724
7.733 7.659 5.627
1.065 1.661 4.313
7.817 5.246 3.037
5.506 -0.051 2.816
3.376 6.958 4.534
```

Symmetry: P2_1/c (14)
Calculated total energy (eV/f.u.): -15.56
Formation energy from raw total energies (eV per atom): -0.109
Distance to the lowest polymorph of the same formula (meV/atom): 0
Magnetization (μB/atom): 0.00

---

# 5
Computed, not measured: a relaxed Ba2BiPdO6 crystal at the PBE level of DFT.

Structure (POSCAR):
```
Ba2BiPdO6
1.0
-5.186 0.266 -1.125
-0.022 -5.612 -1.223
0.871 1.549 6.365
Ba Bi Pd O
2 1 1 6
Cartesian
-0.700 -0.529 2.443
-3.637 -3.268 1.574
-0.011 -2.806 -0.611
-2.593 0.133 -0.563
-1.009 -3.197 1.199
-0.374 0.437 5.043
-3.952 -1.305 -0.389
-0.385 -2.492 4.405
-3.963 -4.234 -1.027
-3.328 -0.601 2.818
```

Symmetry: C2/m (12)
Calculated total energy (eV/f.u.): -57.95
Formation energy from raw total energies (eV per atom): -1.528
Magnetization (μB/atom): 0.10

---

# 6
Computed, not measured: a relaxed PmTm2ScS6 crystal at the PBE level of DFT.

Structure (POSCAR):
```
PmTm2ScS6
1.0
-5.523 -3.535 1.836
-1.688 -5.674 -3.367
0.980 -6.359 3.336
Pm Tm Sc S
1 2 1 6
Cartesian
-5.293 -11.074 0.650
-3.305 -7.601 0.688
0.851 -6.234 3.189
-2.268 -3.201 -0.356
-3.449 -4.956 1.167
-2.566 -7.635 -1.900
-5.909 -8.256 0.511
-2.665 -10.260 0.841
-3.433 -8.078 3.384
-0.665 -7.525 1.421
```

Symmetry: R3 (146)
Calculated total energy (eV/f.u.): -64.72
Formation energy from raw total energies (eV per atom): -1.993
Magnetization (μB/atom): 0.00